Entry 1:
This record from Alexandria via LeMat-Bulk describes InSe4Cl after structural relaxation. The functional is PBE.

a b c (Å): 8.215 8.215 8.215
angles (deg): 90.00 90.00 90.00
Space group F-43m (No. 216)
Unique sites:
In 0.000 0.000 0.000 (multiplicity 4)
Se 0.129 0.129 0.629 (multiplicity 16)
Cl 0.250 0.250 0.250 (multiplicity 4)

Volume   23.10 Å³ per atom
Total DFT energy (no corrections)   -2.856 eV per atom
Formation energy without anion corrections   231 meV/atom
Density   5.58 Mg/m³

Entry 2:
This record from Alexandria via LeMat-Bulk describes InSe2Cl after structural relaxation. The functional is PBE.

a b c (Å): 5.217 4.007 5.383
angles (deg): 90.00 105.83 90.00
Space group P2/m (No. 10)
Unique sites:
In 0.000 0.000 0.000 (multiplicity 1)
Se 0.382 0.500 0.161 (multiplicity 2)
Cl 0.000 0.000 0.500 (multiplicity 1)

Volume   27.06 Å³ per atom
ΔE to the lowest computed polymorph   0 kJ/mol of formula units
Total DFT energy (no corrections)   -3.405 eV per atom
Formation energy without anion corrections   -517 meV/atom
Density   4.73 Mg/m³

Entry 3:
This record from Alexandria via LeMat-Bulk describes In3SeCl after structural relaxation. The functional is PBE.

a b c (Å): 5.712 5.712 5.712
angles (deg): 90.00 90.00 90.00
Space group Pm-3m (No. 221)
Unique sites:
In 0.000 0.000 0.500 (multiplicity 3)
Se 0.500 0.500 0.500 (multiplicity 1)
Cl 0.000 0.000 0.000 (multiplicity 1)

Volume   37.27 Å³ per atom
ΔE to the lowest computed polymorph   19 kJ/mol of formula units
Total DFT energy (no corrections)   -2.704 eV per atom
Formation energy without anion corrections   5 meV/atom
Density   4.09 Mg/m³

Entry 4:
This record from Alexandria via LeMat-Bulk describes InSeCl after structural relaxation. The functional is PBE.

a b c (Å): 6.834 4.108 6.943
angles (deg): 90.00 90.13 90.00
Space group Pm (No. 6)
Unique sites:
In 0.000 0.000 0.000 (multiplicity 1)
In 0.500 0.500 0.120 (multiplicity 1)
Se 0.124 0.500 0.212 (multiplicity 1)
Se 0.624 0.000 0.908 (multiplicity 1)
Cl 0.163 0.000 0.697 (multiplicity 1)
Cl 0.664 0.500 0.423 (multiplicity 1)

Volume   32.49 Å³ per atom
Total DFT energy (no corrections)   -3.460 eV per atom
Formation energy without anion corrections   -771 meV/atom
Density   3.91 Mg/m³